A relaxed YV2Pt2 crystal, computed with PBE.

a b c (Å): 4.563 4.563 9.003
angles (deg): 90.00 90.00 90.00
Space group I4/mmm (No. 139)
Unique sites:
Y1 0.000 0.000 0.000
V1 0.000 0.000 0.371
Pt1 0.000 0.500 0.250

Results
Polymorph energy (0 for the lowest one) in meV/atom: 169
Energy of formation from the pure elements in kJ/mol of atoms: -33